Record 1
{"formula": "PrNd7Y3", "functional": "GGA-PBE", "state": "optimized geometry", "cell": [[8.767, 0.000, 0.000], [0.000, 7.260, 0.000], [0.000, -3.630, 6.287]], "species": ["Nd", "Nd", "Nd", "Nd", "Nd", "Nd", "Nd", "Pr", "Y", "Y", "Y"], "frac_coords": [[0.125, 0.667, 0.333], [0.457, 0.833, 0.666], [0.109, 0.167, 0.833], [0.109, 0.666, 0.833], [0.457, 0.833, 0.167], [0.457, 0.334, 0.167], [0.109, 0.167, 0.334], [0.441, 0.333, 0.667], [0.784, 0.500, 0.500], [0.784, 0.500, 0.000], [0.784, 0.000, 0.500]], "total_magnetization_mub_per_atom": 0.00, "ef_ev_per_atom": 0.183, "relative_energy_mev_per_atom": 0.0}


Record 2
{"formula": "Pr3Nd2Y2", "functional": "GGA-PBE", "state": "optimized geometry", "cell": [[3.638, 0.011, 0.493], [-0.115, 10.976, 0.655], [1.010, -0.992, 6.173]], "species": ["Nd", "Nd", "Pr", "Pr", "Pr", "Y", "Y"], "frac_coords": [[0.715, 0.143, 0.569], [0.285, 0.857, 0.431], [0.000, 0.000, 0.000], [0.143, 0.429, 0.715], [0.857, 0.571, 0.285], [0.428, 0.286, 0.143], [0.572, 0.714, 0.857]], "total_magnetization_mub_per_atom": 0.00, "ef_ev_per_atom": 0.011, "relative_energy_mev_per_atom": 0.0}


Record 3
{"formula": "PrNd15Y4", "functional": "GGA-PBE", "state": "optimized geometry", "cell": [[-2.395, 4.593, 0.232], [-2.327, -0.985, -4.527], [-19.758, -10.939, 12.534]], "species": ["Nd", "Nd", "Nd", "Nd", "Nd", "Nd", "Nd", "Nd", "Nd", "Nd", "Nd", "Nd", "Nd", "Nd", "Nd", "Pr", "Y", "Y", "Y", "Y"], "frac_coords": [[0.500, 0.500, 0.000], [0.500, 0.000, 0.899], [0.500, 0.000, 0.699], [0.500, 0.500, 0.202], [0.000, 0.500, 0.101], [0.000, 0.500, 0.899], [0.000, 0.500, 0.699], [0.500, 0.500, 0.798], [0.500, 0.000, 0.500], [0.000, 0.500, 0.301], [0.500, 0.500, 0.400], [0.500, 0.000, 0.301], [0.500, 0.000, 0.101], [0.000, 0.500, 0.500], [0.500, 0.500, 0.600], [0.000, 0.000, 0.000], [0.000, 0.000, 0.201], [0.000, 0.000, 0.600], [0.000, 0.000, 0.400], [0.000, 0.000, 0.799]], "total_magnetization_mub_per_atom": 0.00, "ef_ev_per_atom": 0.011}


Record 4
{"formula": "Pr3Nd4Y5", "functional": "GGA-PBE", "state": "optimized geometry", "cell": [[6.432, -1.474, 3.086], [1.348, 8.718, 1.335], [3.618, -1.913, 8.718]], "species": ["Y", "Y", "Y", "Y", "Y", "Pr", "Pr", "Pr", "Nd", "Nd", "Nd", "Nd"], "frac_coords": [[0.250, 0.500, 0.001], [0.500, 0.500, 0.500], [0.750, 0.500, 0.999], [0.333, 0.169, 0.167], [0.667, 0.831, 0.833], [0.583, 0.168, 0.668], [0.000, 0.500, 0.500], [0.417, 0.832, 0.332], [0.082, 0.168, 0.668], [0.169, 0.832, 0.831], [0.831, 0.168, 0.169], [0.918, 0.832, 0.332]], "total_magnetization_mub_per_atom": 0.00, "ef_ev_per_atom": 0.013, "relative_energy_mev_per_atom": 0.0}


Record 5
{"formula": "Pr4Nd2Y5", "functional": "GGA-PBE", "state": "optimized geometry", "cell": [[-0.943, -2.829, 1.976], [2.031, -5.339, -6.674], [10.126, 5.323, 9.212]], "species": ["Pr", "Pr", "Pr", "Pr", "Nd", "Nd", "Y", "Y", "Y", "Y", "Y"], "frac_coords": [[0.411, 0.520, 0.822], [0.959, 0.259, 0.918], [0.589, 0.480, 0.178], [0.041, 0.741, 0.082], [0.275, 0.375, 0.549], [0.725, 0.625, 0.451], [0.813, 0.098, 0.627], [0.500, 0.000, 0.000], [0.869, 0.788, 0.738], [0.187, 0.902, 0.373], [0.131, 0.212, 0.262]], "total_magnetization_mub_per_atom": 0.00, "ef_ev_per_atom": 0.110, "relative_energy_mev_per_atom": 15.7}


Record 6
{"formula": "PrNdY2", "functional": "GGA-PBE", "state": "optimized geometry", "cell": [[-0.396, 3.264, -3.874], [2.455, -3.350, -3.073], [-4.528, -2.111, -1.316]], "species": ["Y", "Y", "Nd", "Pr"], "frac_coords": [[0.000, 0.000, 0.500], [0.000, 0.500, 0.000], [0.500, 0.000, 0.000], [0.500, 0.500, 0.500]], "total_magnetization_mub_per_atom": 0.00, "ef_ev_per_atom": 0.018, "relative_energy_mev_per_atom": 9.8}


Record 7
{"formula": "PrNd12Y5", "functional": "GGA-PBE", "state": "optimized geometry", "cell": [[15.476, 0.000, -0.019], [7.738, 7.757, -0.010], [0.007, 0.000, 5.173]], "species": ["Nd", "Nd", "Nd", "Nd", "Nd", "Nd", "Nd", "Nd", "Nd", "Nd", "Nd", "Nd", "Y", "Y", "Y", "Y", "Y", "Pr"], "frac_coords": [[0.334, 0.666, 0.000], [0.168, 0.333, 0.500], [0.665, 0.000, 0.000], [0.167, 0.000, 0.500], [0.000, 0.334, 0.000], [0.501, 0.667, 0.500], [0.832, 0.667, 0.500], [0.666, 0.334, 0.000], [0.833, 0.000, 0.500], [0.499, 0.333, 0.500], [0.335, 0.000, 0.000], [0.000, 0.666, 0.000], [0.168, 0.665, 0.500], [0.333, 0.334, 0.000], [0.833, 0.335, 0.500], [0.500, 0.000, 0.500], [0.667, 0.666, 0.000], [0.000, 0.000, 0.000]], "total_magnetization_mub_per_atom": 0.00, "ef_ev_per_atom": 0.016}


Record 8
{"formula": "Pr5Nd3Y3", "functional": "GGA-PBE", "state": "optimized geometry", "cell": [[-1.507, 2.415, 2.014], [-6.607, 3.249, -8.839], [-3.623, -8.238, 7.166]], "species": ["Pr", "Pr", "Pr", "Pr", "Pr", "Nd", "Nd", "Nd", "Y", "Y", "Y"], "frac_coords": [[0.500, 0.000, 0.338], [0.500, 0.333, 0.667], [0.500, 0.338, 0.000], [0.500, 0.662, 0.662], [0.500, 0.667, 0.333], [0.000, 0.596, 0.000], [0.000, 0.404, 0.404], [0.000, 0.000, 0.596], [0.500, 0.160, 0.160], [0.500, 0.840, 0.000], [0.500, 0.000, 0.840]], "total_magnetization_mub_per_atom": 0.00, "ef_ev_per_atom": 0.309, "relative_energy_mev_per_atom": 0.0}


Record 9
{"formula": "Pr4Nd8Y", "functional": "GGA-PBE", "state": "optimized geometry", "cell": [[10.497, -0.001, -5.663], [-6.776, 9.816, -0.001], [-2.956, -2.040, 7.080]], "species": ["Nd", "Nd", "Nd", "Nd", "Nd", "Nd", "Nd", "Nd", "Pr", "Pr", "Pr", "Pr", "Y"], "frac_coords": [[0.668, 0.834, 0.999], [0.165, 0.331, 0.999], [0.332, 0.166, 0.001], [0.165, 0.834, 0.999], [0.518, 0.759, 0.278], [0.835, 0.669, 0.001], [0.482, 0.241, 0.722], [0.835, 0.166, 0.001], [0.500, 0.000, 0.000], [0.500, 0.500, 0.000], [0.000, 0.500, 0.000], [0.000, 0.000, 0.000], [0.000, 0.500, 0.500]], "total_magnetization_mub_per_atom": 0.00, "ef_ev_per_atom": 0.386}


Record 10
{"formula": "Pr4NdY7", "functional": "GGA-PBE", "state": "optimized geometry", "cell": [[-2.967, -0.833, 6.216], [-0.556, -6.626, -0.087], [4.747, -3.600, 10.416]], "species": ["Pr", "Pr", "Pr", "Pr", "Y", "Y", "Y", "Y", "Y", "Y", "Y", "Nd"], "frac_coords": [[0.308, 0.167, 0.307], [0.531, 0.641, 0.285], [0.469, 0.359, 0.715], [0.692, 0.833, 0.693], [0.051, 0.325, 0.639], [0.949, 0.675, 0.361], [0.726, 0.184, 0.381], [0.798, 0.511, 0.952], [0.274, 0.816, 0.619], [0.500, 0.000, 0.000], [0.202, 0.489, 0.048], [0.000, 0.000, 0.000]], "total_magnetization_mub_per_atom": 0.00, "ef_ev_per_atom": 0.079, "relative_energy_mev_per_atom": 0.0}


Record 11
{"formula": "Pr5Nd2Y", "functional": "GGA-PBE", "state": "optimized geometry", "cell": [[-15.989, -4.720, -0.270], [8.953, -1.768, 13.954], [-5.058, -1.838, 9.251]], "species": ["Pr", "Pr", "Pr", "Pr", "Pr", "Pr", "Pr", "Pr", "Pr", "Pr", "Nd", "Nd", "Nd", "Nd", "Y", "Y"], "frac_coords": [[0.321, 0.601, 0.991], [0.042, 0.924, 0.528], [0.601, 0.321, 0.491], [0.346, 0.654, 0.250], [0.958, 0.076, 0.472], [0.399, 0.679, 0.509], [0.076, 0.958, 0.972], [0.924, 0.042, 0.028], [0.654, 0.346, 0.750], [0.679, 0.399, 0.009], [0.500, 0.500, 0.000], [0.000, 0.500, 0.500], [0.500, 0.000, 0.000], [0.500, 0.500, 0.500], [0.238, 0.762, 0.750], [0.762, 0.238, 0.250]], "total_magnetization_mub_per_atom": 0.00, "ef_ev_per_atom": 0.204, "relative_energy_mev_per_atom": 192.7}


Record 12
{"formula": "PrNdY3", "functional": "GGA-PBE", "state": "optimized geometry", "cell": [[-0.139, 0.686, -3.624], [4.929, -7.016, 0.166], [-9.520, -6.710, -0.905]], "species": ["Nd", "Nd", "Y", "Y", "Y", "Y", "Y", "Y", "Pr", "Pr"], "frac_coords": [[0.638, 0.860, 0.750], [0.362, 0.140, 0.250], [0.829, 0.190, 0.501], [0.171, 0.810, 0.001], [0.829, 0.190, 0.999], [0.283, 0.177, 0.750], [0.171, 0.810, 0.499], [0.717, 0.823, 0.250], [0.132, 0.487, 0.250], [0.868, 0.513, 0.750]], "total_magnetization_mub_per_atom": 0.00, "ef_ev_per_atom": 0.293, "relative_energy_mev_per_atom": 129.5}


Record 13
{"formula": "Pr5NdY3", "functional": "GGA-PBE", "state": "optimized geometry", "cell": [[-5.892, 1.766, 2.298], [0.032, -12.036, -0.046], [5.056, 7.386, 7.287]], "species": ["Pr", "Pr", "Pr", "Pr", "Pr", "Pr", "Pr", "Pr", "Pr", "Pr", "Y", "Y", "Y", "Y", "Y", "Y", "Nd", "Nd"], "frac_coords": [[0.597, 0.000, 0.250], [0.346, 0.338, 0.975], [0.403, 0.000, 0.750], [0.870, 0.338, 0.127], [0.130, 0.662, 0.873], [0.533, 0.662, 0.373], [0.008, 0.662, 0.525], [0.467, 0.338, 0.627], [0.654, 0.662, 0.025], [0.992, 0.338, 0.475], [0.861, 0.320, 0.806], [0.459, 0.320, 0.306], [0.000, 0.000, 0.500], [0.000, 0.000, 0.000], [0.541, 0.680, 0.694], [0.139, 0.680, 0.194], [0.133, 0.000, 0.250], [0.867, 0.000, 0.750]], "total_magnetization_mub_per_atom": 0.00, "ef_ev_per_atom": 0.258, "relative_energy_mev_per_atom": 0.0}


Record 14
{"formula": "PrNd7Y12", "functional": "GGA-PBE", "state": "optimized geometry", "cell": [[9.290, 0.000, -3.285], [-4.645, 8.046, -3.285], [0.000, 0.000, 9.854]], "species": ["Y", "Y", "Y", "Y", "Y", "Y", "Y", "Y", "Y", "Y", "Y", "Y", "Nd", "Nd", "Nd", "Nd", "Nd", "Nd", "Nd", "Pr"], "frac_coords": [[0.250, 0.749, 0.000], [0.000, 0.250, 0.749], [0.750, 0.251, 0.000], [0.250, 0.251, 0.501], [0.000, 0.750, 0.251], [0.750, 0.749, 0.499], [0.251, 0.501, 0.250], [0.749, 0.499, 0.750], [0.749, 0.000, 0.250], [0.501, 0.250, 0.251], [0.499, 0.750, 0.749], [0.251, 0.000, 0.750], [0.500, 0.000, 0.500], [0.000, 0.500, 0.500], [0.000, 0.000, 0.500], [0.500, 0.500, 0.500], [0.500, 0.500, 0.000], [0.000, 0.500, 0.000], [0.500, 0.000, 0.000], [0.000, 0.000, 0.000]], "total_magnetization_mub_per_atom": 0.00, "ef_ev_per_atom": 0.613, "relative_energy_mev_per_atom": 345.1}


Record 15
{"formula": "Pr2Nd5Y4", "functional": "GGA-PBE", "state": "optimized geometry", "cell": [[3.577, 0.000, 0.000], [0.000, 9.265, 0.000], [-1.788, -4.633, 11.905]], "species": ["Pr", "Pr", "Nd", "Nd", "Nd", "Nd", "Nd", "Y", "Y", "Y", "Y"], "frac_coords": [[0.267, 0.267, 0.535], [0.733, 0.733, 0.465], [0.500, 0.000, 0.000], [0.143, 0.946, 0.287], [0.857, 0.054, 0.713], [0.143, 0.340, 0.287], [0.857, 0.660, 0.713], [0.597, 0.597, 0.195], [0.000, 0.313, 0.000], [0.000, 0.687, 0.000], [0.403, 0.403, 0.805]], "total_magnetization_mub_per_atom": 0.00, "ef_ev_per_atom": 0.183, "relative_energy_mev_per_atom": 168.0}


Record 16
{"formula": "Pr7Nd4Y", "functional": "GGA-PBE", "state": "optimized geometry", "cell": [[-5.803, 4.641, -0.374], [-3.195, -3.651, 4.229], [-3.458, 8.240, 7.780]], "species": ["Nd", "Nd", "Nd", "Nd", "Pr", "Pr", "Pr", "Pr", "Pr", "Pr", "Pr", "Y"], "frac_coords": [[0.168, 0.223, 0.332], [0.580, 0.277, 0.670], [0.420, 0.723, 0.330], [0.832, 0.777, 0.668], [0.667, 0.223, 0.333], [0.919, 0.723, 0.331], [0.750, 0.500, 0.000], [0.250, 0.500, 0.000], [0.500, 0.000, 0.000], [0.333, 0.777, 0.667], [0.081, 0.277, 0.669], [0.000, 0.000, 0.000]], "total_magnetization_mub_per_atom": 0.00, "ef_ev_per_atom": 0.012, "relative_energy_mev_per_atom": 0.0}


Record 17
{"formula": "Pr5Nd3Y3", "functional": "GGA-PBE", "state": "optimized geometry", "cell": [[-0.510, 5.420, 1.218], [-9.201, -0.069, -3.542], [1.634, -1.986, 9.519]], "species": ["Y", "Y", "Y", "Pr", "Pr", "Pr", "Pr", "Pr", "Nd", "Nd", "Nd"], "frac_coords": [[0.000, 0.533, 0.000], [0.000, 0.467, 0.467], [0.000, 0.000, 0.533], [0.500, 0.000, 0.732], [0.500, 0.333, 0.667], [0.500, 0.732, 0.000], [0.500, 0.667, 0.333], [0.500, 0.268, 0.268], [0.500, 0.359, 0.000], [0.500, 0.000, 0.359], [0.500, 0.641, 0.641]], "total_magnetization_mub_per_atom": 0.00, "ef_ev_per_atom": 0.742, "relative_energy_mev_per_atom": 433.1}


Record 18
{"formula": "Pr8Nd3Y4", "functional": "GGA-PBE", "state": "optimized geometry", "cell": [[6.990, -0.070, -0.101], [-3.302, 8.641, 1.582], [-3.302, -1.516, 8.653]], "species": ["Pr", "Pr", "Pr", "Pr", "Pr", "Pr", "Pr", "Pr", "Nd", "Nd", "Nd", "Y", "Y", "Y", "Y"], "frac_coords": [[0.735, 0.753, 0.753], [0.500, 0.247, 0.753], [0.500, 0.753, 0.247], [0.000, 0.706, 0.294], [0.808, 0.296, 0.296], [0.000, 0.294, 0.706], [0.192, 0.704, 0.704], [0.265, 0.247, 0.247], [0.500, 0.500, 0.500], [0.500, 0.500, 0.000], [0.500, 0.000, 0.500], [0.000, 0.000, 0.000], [0.000, 0.000, 0.500], [0.000, 0.500, 0.000], [0.500, 0.000, 0.000]], "total_magnetization_mub_per_atom": 0.00, "ef_ev_per_atom": 0.311}


Record 19
{"formula": "Pr3Nd8Y", "functional": "GGA-PBE", "state": "optimized geometry", "cell": [[7.310, 0.472, -5.039], [-3.137, 8.216, -1.303], [-1.734, -0.472, 8.707]], "species": ["Nd", "Nd", "Nd", "Nd", "Nd", "Nd", "Nd", "Nd", "Pr", "Pr", "Pr", "Y"], "frac_coords": [[0.835, 0.084, 0.249], [0.986, 0.242, 0.744], [0.014, 0.757, 0.256], [0.501, 0.758, 0.744], [0.835, 0.586, 0.751], [0.499, 0.243, 0.256], [0.165, 0.414, 0.249], [0.165, 0.916, 0.751], [0.000, 0.500, 0.500], [0.500, 0.244, 0.744], [0.500, 0.756, 0.256], [0.000, 0.000, 0.000]], "total_magnetization_mub_per_atom": 0.00, "ef_ev_per_atom": 0.287}


Record 20
{"formula": "PrNd3Y", "functional": "GGA-PBE", "state": "optimized geometry", "cell": [[-3.683, 4.400, -1.818], [1.549, -4.845, -4.355], [-8.059, -5.487, 2.567]], "species": ["Nd", "Nd", "Nd", "Nd", "Nd", "Nd", "Y", "Y", "Pr", "Pr"], "frac_coords": [[0.194, 0.268, 0.546], [0.324, 0.701, 0.236], [0.676, 0.299, 0.764], [0.951, 0.902, 0.837], [0.049, 0.098, 0.163], [0.806, 0.732, 0.454], [0.720, 0.459, 0.095], [0.280, 0.541, 0.905], [0.674, 0.209, 0.396], [0.326, 0.791, 0.604]], "total_magnetization_mub_per_atom": 0.00, "ef_ev_per_atom": 0.170, "relative_energy_mev_per_atom": 156.4}